[1]
LiSn6Pd5, relaxed, DFT PBE-GGA; formation enthalpy at 0 K = -4.35 eV/f.u.
1.0
7.6059 -0.3258 0.0000
1.9172 5.5364 0.0000
0.9586 2.7682 5.8566
Pd Li Sn
5 1 6
Direct
0.5000 0.5000 0.0000
0.5000 0.1196 0.7608
0.0000 0.6959 0.6081
0.5000 0.8804 0.2392
0.0000 0.3041 0.3919
0.0000 0.0000 0.0000
0.7050 0.4885 0.6194
0.7897 0.6783 0.0000
0.7050 0.1079 0.3806
0.2950 0.8921 0.6194
0.2950 0.5115 0.3806
0.2103 0.3217 0.0000

=====

[2]
Rb2BCl, relaxed, DFT PBE-GGA; raw formation energy = 0.20 eV per atom
1.0
5.0223 -2.6509 0.6499
0.2720 -4.9497 2.8460
1.0509 -4.8620 -2.8160
Rb Cl B
2 1 1
Direct
0.2500 0.2500 0.2500
0.7500 0.7500 0.7500
0.5000 0.5000 0.5000
0.0000 0.0000 0.0000

=====

[3]
DyTh4Pt5, relaxed, DFT PBE-GGA; formation enthalpy at 0 K = -12.01 eV/f.u.
1.0
5.3198 0.0000 2.5659
2.6599 6.6014 1.2829
-0.2080 0.0000 7.2288
Th Dy Pt
4 1 5
Direct
0.2012 0.2015 0.3976
0.4028 0.3976 0.7985
0.5989 0.6024 0.2015
0.8004 0.7985 0.6024
0.0019 0.0000 0.0000
0.5018 0.0000 0.0000
0.9008 0.3993 0.8007
0.3002 0.8007 0.6007
0.1008 0.6007 0.1993
0.7015 0.1993 0.3993

=====

[4]
YMg2ScNi, relaxed, DFT PBE-GGA; formation enthalpy at 0 K = -0.27 eV/f.u.
1.0
-4.0886 -2.7290 -0.7141
2.7947 -4.0896 -0.3721
-0.3626 -0.6693 4.6339
Sc Mg Ni Y
1 2 1 1
Direct
0.0000 0.0000 0.5000
0.0000 0.5000 0.0000
0.5000 0.0000 0.0000
0.0000 0.0000 0.0000
0.5000 0.5000 0.5000

=====

[5]
LaSm7Ga4, relaxed, DFT PBE-GGA; formation enthalpy at 0 K = -2.44 eV/f.u.
1.0
-4.9641 2.5871 0.4005
-6.1575 -6.1787 2.9122
-1.4375 2.2489 6.9758
Ga Sm La
4 7 1
Direct
0.6801 0.6700 0.9699
0.3199 0.3300 0.0301
0.5532 0.2420 0.6515
0.4468 0.7580 0.3485
0.7934 0.8788 0.5344
0.2066 0.1212 0.4656
0.7029 0.3580 0.2361
0.9346 0.3894 0.7415
0.5000 0.0000 0.0000
0.2971 0.6420 0.7639
0.0654 0.6106 0.2585
0.0000 0.0000 0.0000

=====

[6]
YTl2TeSe4, relaxed, DFT PBE-GGA; raw formation energy = -0.71 eV per atom
1.0
4.1543 0.0000 0.0000
0.0000 8.0029 -0.2330
0.0000 2.7463 7.1384
Tl Se Y Te
2 4 1 1
Direct
0.0000 0.0000 0.0000
0.5000 0.0000 0.5000
0.5000 0.2732 0.7101
0.0000 0.3020 0.2327
0.5000 0.7268 0.2899
0.0000 0.6980 0.7673
0.0000 0.5000 0.5000
0.5000 0.5000 0.0000